Entry 1:
4
Lattice="0.000 4.001 4.001 4.001 0.000 4.001 4.001 4.001 0.000" Properties=species:S:1:pos:R:3 comment="AcNdInSb GGA-PBE optimized geometry" formation_energy_uncorrected_ev_per_atom=-0.572 magnetic_moment_mub_per_fu=0.00 volume_a3_per_atom=32.021 pbc="T T T"
Ac 0.000 0.000 0.000
Nd 4.001 4.001 4.001
In 6.001 6.001 6.001
Sb 2.000 2.000 2.000

Entry 2:
4
Lattice="0.000 3.920 3.920 3.920 0.000 3.920 3.920 3.920 0.000" Properties=species:S:1:pos:R:3 comment="AcNdScIn GGA-PBE optimized geometry" formation_enthalpy_0k_mev_per_atom=-32.5 magnetic_moment_mub_per_fu=0.00 volume_a3_per_atom=30.115 pbc="T T T"
Ac 0.000 0.000 0.000
Nd 5.880 5.880 5.880
Sc 1.960 1.960 1.960
In 3.920 3.920 3.920

Entry 3:
4
Lattice="0.000 3.877 3.877 3.877 0.000 3.877 3.877 3.877 0.000" Properties=species:S:1:pos:R:3 comment="AcNdInSi GGA-PBE optimized geometry" formation_energy_uncorrected_ev_per_atom=-0.328 magnetic_moment_mub_per_fu=0.00 volume_a3_per_atom=29.129 pbc="T T T"
Ac 0.000 0.000 0.000
Nd 3.877 3.877 3.877
In 1.938 1.938 1.938
Si 5.815 5.815 5.815